Record 1
The following is a DFT calculation (GGA-PBE) of a geometry-optimized CaBiClO2 structure.

Structure (CIF):
```
data_CaBiClO2
_chemical_formula_sum 'Ca2 Bi2 Cl2 O4'
_space_group_name_H-M_alt 'P 1 21/m 1'
_space_group_IT_number 11
_space_group_name_Hall '-P 2yb'
_cell_length_a 5.733
_cell_length_b 5.614
_cell_length_c 6.449
_cell_angle_alpha 90.00
_cell_angle_beta 106.55
_cell_angle_gamma 90.00
loop_
_atom_site_label
_atom_site_type_symbol
_atom_site_fract_x
_atom_site_fract_y
_atom_site_fract_z
Ca1 Ca 0.044 0.250 0.180
Bi1 Bi 0.438 0.250 0.827
Cl1 Cl 0.188 0.750 0.476
O1 O 0.266 0.002 0.011
```

Summary:
Calculated total energy = -27.69 eV per formula unit

Record 2
The following is a DFT calculation (GGA-PBE) of a geometry-optimized Y6HgTe3Se2 structure.

Structure (CIF):
```
data_Y6HgTe3Se2
_chemical_formula_sum 'Y12 Hg2 Te6 Se4'
_space_group_name_H-M_alt 'C 1 2/m 1'
_space_group_IT_number 12
_space_group_name_Hall '-C 2y'
_cell_length_a 7.375
_cell_length_b 12.736
_cell_length_c 7.473
_cell_angle_alpha 90.00
_cell_angle_beta 109.06
_cell_angle_gamma 90.00
loop_
_atom_site_label
_atom_site_type_symbol
_atom_site_fract_x
_atom_site_fract_y
_atom_site_fract_z
Y1 Y 0.240 0.000 0.227
Y2 Y 0.243 0.332 0.228
Hg1 Hg 0.000 0.500 0.000
Te1 Te 0.000 0.000 0.500
Te2 Te 0.000 0.333 0.500
Se1 Se 0.000 0.166 0.000
```

Summary:
Calculated total energy = -71.73 eV per formula unit

Record 3
The following is a DFT calculation (GGA-PBE) of a geometry-optimized Be4Cu5Ni structure.

Structure (CIF):
```
data_Be4Cu5Ni
_chemical_formula_sum 'Be8 Cu10 Ni2'
_space_group_name_H-M_alt 'C 1 2/m 1'
_space_group_IT_number 12
_space_group_name_Hall '-C 2y'
_cell_length_a 12.349
_cell_length_b 3.607
_cell_length_c 5.349
_cell_angle_alpha 90.00
_cell_angle_beta 115.64
_cell_angle_gamma 90.00
loop_
_atom_site_label
_atom_site_type_symbol
_atom_site_fract_x
_atom_site_fract_y
_atom_site_fract_z
Be1 Be 0.013 0.000 0.249
Be2 Be 0.168 0.500 0.410
Cu1 Cu 0.000 0.500 0.500
Cu2 Cu 0.167 0.000 0.685
Cu3 Cu 0.172 0.000 0.147
Ni1 Ni 0.000 0.500 0.000
```

Summary:
Formation energy = 0.006 eV/atom

Record 4
The following is a DFT calculation (GGA-PBE) of a geometry-optimized NaBiF3 structure.

Structure (CIF):
```
data_NaBiF3
_chemical_formula_sum 'Na4 Bi4 F12'
_space_group_name_H-M_alt 'C m c 21'
_space_group_IT_number 36
_space_group_name_Hall 'C 2c -2'
_cell_length_a 4.064
_cell_length_b 15.346
_cell_length_c 5.586
_cell_angle_alpha 90.00
_cell_angle_beta 90.00
_cell_angle_gamma 90.00
loop_
_atom_site_label
_atom_site_type_symbol
_atom_site_fract_x
_atom_site_fract_y
_atom_site_fract_z
Na1 Na 0.000 0.053 0.000
Bi1 Bi 0.000 0.333 0.959
F1 F 0.000 0.098 0.609
F2 F 0.000 0.190 0.208
F3 F 0.000 0.451 0.727
```

Summary:
Energy above the most stable polymorph in this dataset = 0 meV per atom

Record 5
The following is a DFT calculation (GGA-PBE) of a geometry-optimized Rb3UAs2S8 structure.

Structure (CIF):
```
data_Rb3UAs2S8
_chemical_formula_sum 'Rb3 U1 As2 S8'
_space_group_name_H-M_alt 'P -3 m 1'
_space_group_IT_number 164
_space_group_name_Hall '-P 3 2"'
_cell_length_a 7.4953
_cell_length_b 7.4953
_cell_length_c 9.2029
_cell_angle_alpha 90.00
_cell_angle_beta 90.00
_cell_angle_gamma 120.00
loop_
_atom_site_label
_atom_site_type_symbol
_atom_site_fract_x
_atom_site_fract_y
_atom_site_fract_z
Rb1 Rb 0.0000 0.0000 0.0000
Rb2 Rb 0.3333 0.6667 0.6591
U1 U 0.0000 0.0000 0.5000
As1 As 0.3333 0.6667 0.2502
S1 S 0.1540 0.3080 0.3268
S2 S 0.3333 0.6667 0.0214
```

Summary:
Calculated total energy = -66.66 eV per formula unit

Record 6
The following is a DFT calculation (GGA-PBE) of a geometry-optimized CsTbCuI6 structure.

Structure (CIF):
```
data_CsTbCuI6
_chemical_formula_sum 'Cs1 Tb1 Cu1 I6'
_space_group_name_H-M_alt 'P 1'
_space_group_IT_number 1
_space_group_name_Hall 'P 1'
_cell_length_a 7.452
_cell_length_b 7.453
_cell_length_c 8.335
_cell_angle_alpha 98.05
_cell_angle_beta 98.09
_cell_angle_gamma 106.01
loop_
_atom_site_label
_atom_site_type_symbol
_atom_site_fract_x
_atom_site_fract_y
_atom_site_fract_z
Cs1 Cs 0.000 0.000 0.000
Tb1 Tb 0.396 0.604 0.500
Cu1 Cu 0.756 0.244 0.499
I1 I 0.093 0.569 0.218
I2 I 0.113 0.296 0.634
I3 I 0.431 0.905 0.783
I4 I 0.515 0.307 0.269
I5 I 0.694 0.485 0.729
I6 I 0.701 0.886 0.364
```

Summary:
Calculated total energy = -27.61 eV per formula unit